1.
Here is an optimized crystal structure of Ac2Ga3Cu2 from Alexandria via LeMat-Bulk. Energies are from PBE-GGA.

POSCAR file:
```
Ac2Ga3Cu2
1.0
5.382 -2.301 0.000
5.382 2.301 0.000
-2.206 0.000 6.385
Ac Ga Cu
2 3 2
Direct
0.153 0.153 0.274
0.847 0.847 0.726
0.403 0.403 0.087
0.500 0.500 0.500
0.597 0.597 0.913
0.154 0.154 0.789
0.846 0.846 0.211
```

Properties
size of the total moment	0.000	μB per atom
relative energy among the computed polymorphs	18	meV per atom
E	-4.0025	eV/atom



2.
Here is an optimized crystal structure of Ac3GaCu3 from Alexandria via LeMat-Bulk. Energies are from PBE-GGA.

POSCAR file:
```
Ac3GaCu3
1.0
9.042 0.000 0.000
-4.521 7.830 0.000
0.000 0.000 6.074
Ac Ga Cu
6 2 6
Direct
0.055 0.356 0.250
0.301 0.945 0.250
0.356 0.301 0.750
0.644 0.699 0.250
0.699 0.055 0.750
0.945 0.644 0.750
0.333 0.667 0.750
0.667 0.333 0.250
0.065 0.382 0.750
0.317 0.935 0.750
0.382 0.317 0.250
0.618 0.683 0.750
0.683 0.065 0.250
0.935 0.618 0.250
```

Properties
size of the total moment	0.000	μB per atom
relative energy among the computed polymorphs	205	meV per atom
E	-3.9709	eV/atom



3.
Here is an optimized crystal structure of AcGa3Cu5 from Alexandria via LeMat-Bulk. Energies are from PBE-GGA.

POSCAR file:
```
AcGa3Cu5
1.0
2.035 -6.318 0.000
2.035 6.318 0.000
0.000 0.000 12.022
Ac Ga Cu
2 6 10
Direct
0.181 0.819 0.750
0.819 0.181 0.250
0.100 0.900 0.250
0.375 0.625 0.039
0.375 0.625 0.461
0.625 0.375 0.539
0.625 0.375 0.961
0.900 0.100 0.750
0.000 0.000 0.000
0.000 0.000 0.500
0.187 0.813 0.067
0.187 0.813 0.433
0.460 0.540 0.647
0.460 0.540 0.853
0.540 0.460 0.147
0.540 0.460 0.353
0.813 0.187 0.567
0.813 0.187 0.933
```

Properties
size of the total moment	0.000	μB per atom
E	-3.9808	eV/atom



4.
Here is an optimized crystal structure of Ac3Ga2Cu9 from Alexandria via LeMat-Bulk. Energies are from PBE-GGA.

POSCAR file:
```
Ac3Ga2Cu9
1.0
-2.135 4.457 7.044
2.135 -4.457 7.044
2.135 4.457 -7.044
Ac Ga Cu
3 2 9
Direct
0.000 0.000 0.000
0.286 0.286 0.000
0.714 0.714 0.000
0.327 0.500 0.827
0.673 0.500 0.173
0.002 0.648 0.354
0.171 0.882 0.288
0.294 0.648 0.646
0.406 0.118 0.288
0.500 0.000 0.500
0.594 0.882 0.712
0.706 0.352 0.354
0.829 0.118 0.712
0.998 0.352 0.646
```

Properties
size of the total moment	0.000	μB per atom
E	-4.1330	eV/atom